Below is LaPrHgOs after structural relaxation, with properties calculated at the PBE level.

E_form = -115.4 meV per atom
total energy = -5.425 eV/atom

Lattice parameters (Å, degrees): 5.2422 5.2422 5.2422 60.00 60.00 60.00
Atoms (fractional coordinates):
Pr: 0.5000 0.5000 0.5000
Os: 0.7500 0.7500 0.7500
Hg: 0.2500 0.2500 0.2500
La: 0.0000 0.0000 0.0000